No. 1
LiDyTl2 GGA-PBE relaxed; polymorph energy (0 for the lowest one) = 25 meV/atom; SG = No. 123; V = 95.8 Å³ per cell; energy of formation from the pure elements = -0.288 eV/atom; final energy = -3.10 eV per atom
1.0
3.597 0.000 0.000
0.000 3.597 0.000
0.000 0.000 7.402
Li Dy Tl
1 1 2
direct
0.500 0.500 0.000
0.500 0.500 0.500
0.000 0.000 0.217
0.000 0.000 0.783

No. 2
Li3Dy3Tl2 GGA-PBE relaxed; SG = No. 160; V = 196.8 Å³ per cell; energy of formation from the pure elements = -0.187 eV/atom; final energy = -3.22 eV per atom
1.0
4.950 0.000 1.492
2.250 4.409 1.492
-0.015 -0.009 9.010
Dy Tl Li
3 2 3
direct
0.376 0.376 0.873
0.126 0.126 0.621
0.875 0.875 0.374
0.507 0.507 0.478
0.999 0.999 0.004
0.739 0.739 0.784
0.624 0.624 0.129
0.254 0.254 0.238

No. 3
Li4DyTl GGA-PBE relaxed; SG = No. 216; V = 118.8 Å³ per cell; energy of formation from the pure elements = -0.098 eV/atom; final energy = -2.54 eV per atom
1.0
5.519 0.000 0.000
2.759 4.779 0.000
2.759 1.593 4.506
Tl Li Dy
1 4 1
direct
0.000 0.000 0.000
0.123 0.626 0.626
0.626 0.626 0.626
0.626 0.123 0.626
0.626 0.626 0.123
0.250 0.250 0.250

No. 4
Li2Dy2Tl GGA-PBE relaxed; SG = No. 12; V = 115.5 Å³ per cell; energy of formation from the pure elements = -0.060 eV/atom; final energy = -3.14 eV per atom
1.0
-0.263 4.299 4.139
-1.328 -0.360 5.813
3.449 0.933 4.793
Dy Tl Li
2 1 2
direct
0.222 0.222 0.221
0.778 0.778 0.779
0.000 0.000 0.000
0.588 0.588 0.585
0.412 0.412 0.415

No. 5
LiDy2Tl9 GGA-PBE relaxed; SG = No. 123; V = 323.0 Å³ per cell; energy of formation from the pure elements = -0.156 eV/atom; final energy = -2.86 eV per atom
1.0
4.764 0.000 0.000
0.000 4.764 0.000
0.000 0.000 14.232
Tl Dy Li
9 2 1
direct
0.000 0.500 0.500
0.500 0.500 0.668
0.000 0.500 0.837
0.500 0.500 0.332
0.500 0.000 0.837
0.500 0.500 0.000
0.000 0.500 0.163
0.500 0.000 0.163
0.500 0.000 0.500
0.000 0.000 0.665
0.000 0.000 0.335
0.000 0.000 0.000

No. 6
Li3Dy2Tl2 GGA-PBE relaxed; SG = No. 12; V = 162.0 Å³ per cell; energy of formation from the pure elements = -0.220 eV/atom; final energy = -3.03 eV per atom
1.0
-3.101 2.150 -3.027
2.696 -4.728 -2.255
-5.056 -2.165 3.642
Dy Tl Li
2 2 3
direct
0.849 0.698 0.230
0.151 0.302 0.770
0.853 0.706 0.755
0.147 0.294 0.245
0.500 0.000 0.000
0.396 0.791 0.571
0.604 0.209 0.429

No. 7
LiDy2Tl2 GGA-PBE relaxed; polymorph energy (0 for the lowest one) = 0 meV/atom; SG = No. 12; V = 259.0 Å³ per cell; energy of formation from the pure elements = -0.274 eV/atom; final energy = -3.44 eV per atom
1.0
-4.680 -0.573 -0.431
-1.932 -5.379 2.123
-3.711 4.620 8.147
Dy Li Tl
4 2 4
direct
0.683 0.291 0.344
0.317 0.709 0.656
0.916 0.255 0.913
0.084 0.745 0.087
0.378 0.899 0.345
0.622 0.101 0.655
0.939 0.710 0.412
0.662 0.808 0.869
0.338 0.192 0.131
0.061 0.290 0.588

No. 8
LiDy3Tl2 GGA-PBE relaxed; polymorph energy (0 for the lowest one) = 0 meV/atom; SG = No. 164; V = 318.2 Å³ per cell; energy of formation from the pure elements = -0.249 eV/atom; final energy = -3.66 eV per atom
1.0
5.303 0.000 0.000
-2.651 4.593 0.000
0.000 0.000 13.065
Dy Tl Li
6 4 2
direct
0.000 0.000 0.250
0.667 0.333 0.579
0.333 0.667 0.918
0.333 0.667 0.421
0.667 0.333 0.082
0.000 0.000 0.750
0.667 0.333 0.817
0.333 0.667 0.183
0.000 0.000 0.000
0.000 0.000 0.500
0.667 0.333 0.328
0.333 0.667 0.672